First-principles (PBE) data for a geometry-optimized Ac3Hg2Rh structure, as listed in Alexandria via LeMat-Bulk.

Results
Formation energy from the elements: -0.522 eV/atom
Space group: C2/m (12)

Unit cell a=7.999 b=8.306 c=7.565 alpha=82.13 beta=58.09 gamma=74.98
Sites, in units of the cell vectors:
Ac (0.556, 0.226, 0.362)
Ac (0.696, 0.804, 0.000)
Ac (0.444, 0.774, 0.638)
Ac (0.082, 0.774, 0.362)
Ac (0.918, 0.226, 0.638)
Ac (0.304, 0.196, 0.000)
Hg (0.000, 0.000, 0.000)
Hg (0.500, 0.500, 0.000)
Hg (0.869, 0.500, 0.263)
Hg (0.131, 0.500, 0.737)
Rh (0.326, 0.000, 0.349)
Rh (0.674, 0.000, 0.651)